DFT (GGA-PBE) results for an optimized crystal structure of Ca2YSe.

Computed properties:
Volume, A^3/atom: 30.192
E above lowest polymorph, eV/atom: 0.690

a = 5.548 Å, b = 5.548 Å, c = 5.548 Å
α = 60.00°, β = 60.00°, γ = 60.00°
Sites, in units of the cell vectors:
Ca 0.000 0.000 0.000
Ca 0.250 0.250 0.250
Y 0.750 0.750 0.750
Se 0.500 0.500 0.500